No. 1
# Nb2P

An optimized crystal structure of Nb2P (PBE, the Open Quantum Materials Database).

- E: -28.1 eV/f.u.

Lattice parameters (Å, degrees): 18.078 3.456 13.908 90.00 90.00 90.00
Atoms (fractional coordinates):
1 Nb 0.500 0.500 0.500
2 Nb 0.250 0.500 0.561
3 Nb 0.162 0.500 0.761
4 Nb 0.500 0.000 0.000
5 Nb 0.250 0.000 0.888
6 Nb 0.121 0.000 0.570
7 Nb 0.857 0.500 0.997
8 Nb 0.000 0.500 0.500
9 Nb 0.001 0.500 0.162
10 Nb 0.062 0.000 0.343
11 Nb 0.438 0.000 0.343
12 Nb 0.750 0.000 0.883
13 Nb 0.938 0.000 0.657
14 Nb 0.501 0.500 0.838
15 Nb 0.621 0.000 0.430
16 Nb 0.165 0.500 0.240
17 Nb 0.750 0.000 0.614
18 Nb 0.750 0.000 0.112
19 Nb 0.357 0.500 0.003
20 Nb 0.662 0.500 0.239
21 Nb 0.338 0.500 0.761
22 Nb 0.250 0.000 0.117
23 Nb 0.643 0.500 0.997
24 Nb 0.335 0.500 0.240
25 Nb 0.143 0.500 0.003
26 Nb 0.379 0.000 0.570
27 Nb 0.250 0.000 0.386
28 Nb 0.999 0.500 0.838
29 Nb 0.499 0.500 0.162
30 Nb 0.562 0.000 0.657
31 Nb 0.665 0.500 0.760
32 Nb 0.838 0.500 0.239
33 Nb 0.000 0.000 0.000
34 Nb 0.750 0.500 0.439
35 Nb 0.879 0.000 0.430
36 Nb 0.835 0.500 0.760
37 P 0.896 0.000 0.128
38 P 0.356 0.500 0.432
39 P 0.396 0.000 0.872
40 P 0.045 0.500 0.671
41 P 0.955 0.500 0.329
42 P 0.896 0.000 0.864
43 P 0.144 0.500 0.432
44 P 0.545 0.500 0.329
45 P 0.644 0.500 0.568
46 P 0.750 0.000 0.310
47 P 0.250 0.000 0.690
48 P 0.104 0.000 0.136
49 P 0.104 0.000 0.872
50 P 0.455 0.500 0.671
51 P 0.396 0.000 0.136
52 P 0.604 0.000 0.864
53 P 0.604 0.000 0.128
54 P 0.856 0.500 0.568


No. 2
# SmZrAl

An optimized crystal structure of SmZrAl (PBE, the Open Quantum Materials Database).

- E above lowest polymorph: 0.0000 eV per atom

Lattice parameters (Å, degrees): 4.910 4.910 4.910 60.00 60.00 60.00
Site moments in Bohr magnetons follow the coordinates.
Atoms (fractional coordinates):
1 Zr 0.000 0.000 0.000  0.93
2 Sm 0.750 0.750 0.750  0.42
3 Al 0.250 0.250 0.250  -0.03


No. 3
# BaSmZnSb2

An optimized crystal structure of BaSmZnSb2 (PBE, the Open Quantum Materials Database).

- E: -20.2 eV/f.u.

Lattice parameters (Å, degrees): 9.591 9.591 7.222 90.00 90.00 151.52
Atoms (fractional coordinates):
1 Ba 0.297 0.703 0.012
2 Ba 0.703 0.297 0.512
3 Sb 0.653 0.347 0.996
4 Sb 0.347 0.653 0.496
5 Sb 0.934 0.066 0.009
6 Sb 0.066 0.934 0.509
7 Sm 0.490 0.510 0.743
8 Sm 0.510 0.490 0.243
9 Zn 0.910 0.090 0.395
10 Zn 0.090 0.910 0.895


| no. | V (A^3/atom) | total magnetic moment (μB per cell) |
| --- | --- | --- |
| 1 | 16.09 | 0.0 |
| 2 | 27.89 | 1.9 |
| 3 | 31.68 | 0.0 |